MnBe2In | the Alexandria database | PBE-GGA | relaxed; electronic total energy = -18.4 eV for the cell shown; ΔH_f (0 K) = 0.24 eV/atom
1.0
2.980 0.000 0.000
0.000 2.980 0.000
0.000 0.000 5.645
Mn Be In
1 2 1
Direct
0.000 0.000 0.000 Mn
0.500 0.500 0.180 Be
0.500 0.500 0.820 Be
0.000 0.000 0.500 In